This record from the Alexandria database describes LiMg2Si after structural relaxation. The functional is PBE-GGA.

Summary:
The formation energy from raw total energies is -41 meV/atom. As for the space group: Pm. As for the calculated total energy: -2.673 eV per atom.

Unit cell a=4.302 b=3.249 c=5.525 alpha=72.12 beta=90.00 gamma=90.00
Fractional positions:
1 Si 0.000 0.693 0.491
2 Mg 0.000 0.960 0.949
3 Mg 0.500 0.289 0.307
4 Li 0.500 0.558 0.752